Entry 1:
Entry from the Alexandria database: KAgSnSe3 after structural relaxation (PBE).

extended XYZ file:
```
12
Lattice="-1.353 -1.029 3.795 -7.033 -4.270 -3.665 6.935 -6.442 0.726" Properties=species:S:1:pos:R:3 pbc="T T T"
K 0.014 -2.910 0.355
K -1.465 -8.831 0.501
Ag 3.380 -4.349 1.165
Ag -4.831 -7.392 -0.309
Sn -4.106 -4.037 -1.419
Sn 2.655 -7.704 2.275
Se -6.360 -5.212 -0.263
Se 4.909 -6.528 1.119
Se -2.601 -6.286 -1.493
Se 1.150 -5.454 2.349
Se -3.183 -3.718 1.275
Se 1.732 -8.022 -0.419
```

Summary:
E   -3.604 eV/atom
Size of the total moment   0.000 μB/atom
Crystal system   monoclinic

=====

Entry 2:
Entry from the Alexandria database: TbY3Se6 after structural relaxation (PBE).

extended XYZ file:
```
20
Lattice="-3.261 -0.827 -2.354 0.616 -11.155 3.064 -6.995 5.757 7.671" Properties=species:S:1:pos:R:3 pbc="T T T"
Tb -7.260 2.877 3.678
Tb -2.380 -9.101 4.704
Y -8.002 -0.647 5.943
Y -1.638 -5.577 2.438
Y -5.535 -5.351 4.176
Y -4.106 -0.873 4.206
Y -2.928 -1.916 -0.643
Y -6.713 -4.308 9.024
Se -6.454 -2.434 4.426
Se -3.186 -3.790 3.956
Se -2.575 -10.278 1.806
Se -7.065 4.054 6.576
Se -2.640 -4.678 -0.072
Se -7.001 -1.547 8.453
Se -3.926 -7.359 2.652
Se -5.715 1.134 5.729
Se -5.629 0.821 2.139
Se -4.012 -7.045 6.243
Se -7.192 -5.322 6.463
Se -2.448 -0.902 1.919
```

Summary:
E   -6.369 eV/atom
Size of the total moment   0.000 μB/atom
Crystal system   monoclinic

=====

Entry 3:
Entry from the Alexandria database: Rb2VIBr6 after structural relaxation (PBE).

extended XYZ file:
```
10
Lattice="-2.475 1.263 -7.707 7.086 -3.035 -2.773 -0.124 -6.439 -5.370" Properties=species:S:1:pos:R:3 pbc="T T T"
I 0.000 0.000 0.000
Br 1.309 -3.165 -5.293
Br 3.179 -5.046 -10.556
Br 1.310 -0.503 -2.977
Br 3.301 -1.268 -7.502
Br 0.241 0.042 -6.305
Br 4.370 -1.814 -4.175
Rb -0.147 -3.031 -9.158
Rb 4.634 -5.180 -6.691
V 2.306 -0.886 -5.240
```

Summary:
E   -3.196 eV/atom
Size of the total moment   0.053 μB/atom
Crystal system   tetragonal

=====

Which of these has the highest size of the total moment?
Rb2VIBr6

=====

size of the total moment of number 2 (TbY3Se6)?
0.000 μB/atom